Version w
Density functional theory data (GGA-PBE) for a relaxed structure of Sm6Y3Tm.

Cell lengths 6.134, 9.375, 11.685 Å; angles 90.00, 90.33, 90.00 degrees
Atoms (fractional coordinates):
Y  0.611  0.821  0.250
Y  0.389  0.179  0.750
Y  0.000  0.000  0.500
Y  0.111  0.679  0.750
Y  0.889  0.321  0.250
Y  0.500  0.500  0.000
Sm  0.999  0.346  0.580
Sm  0.129  0.967  0.250
Sm  0.999  0.343  0.921
Sm  0.001  0.654  0.420
Sm  0.371  0.467  0.250
Sm  0.001  0.657  0.079
Sm  0.499  0.154  0.080
Sm  0.629  0.533  0.750
Sm  0.501  0.843  0.579
Sm  0.499  0.157  0.421
Sm  0.501  0.846  0.920
Sm  0.871  0.033  0.750
Tm  0.000  0.000  0.000
Tm  0.500  0.500  0.500

Summary:
total magnetization: 0.00 μB/f.u.


Version x
Density functional theory data (GGA-PBE) for a relaxed structure of Sm6Y3Tm.

Cell lengths 6.222, 11.154, 11.154 Å; angles 120.16, 90.00, 90.00 degrees
Atoms (fractional coordinates):
Sm  0.925  0.043  0.957
Sm  0.037  0.711  0.621
Sm  0.425  0.957  0.043
Sm  0.360  0.052  0.474
Sm  0.037  0.379  0.289
Sm  0.142  0.722  0.278
Sm  0.860  0.948  0.526
Sm  0.537  0.289  0.379
Sm  0.642  0.278  0.722
Sm  0.537  0.621  0.711
Sm  0.860  0.474  0.052
Sm  0.360  0.526  0.948
Y  0.465  0.944  0.722
Y  0.070  0.387  0.613
Y  0.570  0.613  0.387
Y  0.965  0.722  0.944
Y  0.965  0.056  0.278
Y  0.465  0.278  0.056
Tm  0.624  0.798  0.202
Tm  0.124  0.202  0.798

Summary:
total magnetization: 0.00 μB/f.u.


Most stable pick: version x. Distance to second place: 64 meV per atom.


Version w
Density functional theory data (GGA-PBE) for a relaxed structure of Sm3Y7Tm2.

Cell lengths 3.570, 5.840, 18.780 Å; angles 93.12, 90.00, 90.00 degrees
Atoms (fractional coordinates):
Y  0.500  0.810  0.821
Y  0.500  0.257  0.537
Y  0.000  0.000  0.000
Y  0.000  0.313  0.856
Y  0.500  0.190  0.179
Y  0.000  0.687  0.144
Y  0.500  0.743  0.463
Sm  0.000  0.781  0.634
Sm  0.000  0.219  0.366
Sm  0.500  0.500  0.000
Tm  0.500  0.292  0.706
Tm  0.500  0.708  0.294

Summary:
total magnetization: 0.00 μB/f.u.


Version x
Density functional theory data (GGA-PBE) for a relaxed structure of Sm3Y7Tm2.

Cell lengths 19.249, 19.249, 3.584 Å; angles 90.00, 90.00, 162.85 degrees
Atoms (fractional coordinates):
Sm  0.816  0.184  0.000
Sm  0.184  0.816  0.000
Sm  0.500  0.500  0.500
Y  0.428  0.572  0.000
Y  0.908  0.092  0.500
Y  0.092  0.908  0.500
Y  0.731  0.269  0.500
Y  0.269  0.731  0.500
Y  0.572  0.428  0.000
Y  0.000  0.000  0.000
Tm  0.353  0.647  0.500
Tm  0.647  0.353  0.500

Summary:
total magnetization: 0.00 μB/f.u.


Most stable pick: version w. Distance to second place: 28 meV per atom.


Version w
Density functional theory data (GGA-PBE) for a relaxed structure of SmY2Tm7.

Cell lengths 5.380, 8.799, 9.360 Å; angles 117.97, 106.70, 52.27 degrees
Atoms (fractional coordinates):
Tm  0.500  0.500  0.000
Tm  0.751  0.859  0.219
Tm  0.249  0.361  0.219
Tm  0.999  0.200  0.399
Tm  0.751  0.639  0.781
Tm  0.001  0.800  0.601
Tm  0.249  0.141  0.781
Y  0.500  0.700  0.400
Y  0.500  0.300  0.600
Sm  0.000  0.000  0.000

Summary:
total magnetization: 0.00 μB/f.u.


Version x
Density functional theory data (GGA-PBE) for a relaxed structure of SmY2Tm7.

Cell lengths 5.114, 9.669, 9.669 Å; angles 127.50, 90.00, 90.00 degrees
Atoms (fractional coordinates):
Sm  0.000  0.000  0.000
Y  0.500  0.298  0.702
Y  0.500  0.702  0.298
Tm  0.500  0.072  0.287
Tm  0.500  0.500  0.500
Tm  0.500  0.713  0.928
Tm  0.500  0.287  0.072
Tm  0.500  0.928  0.713
Tm  0.000  0.194  0.806
Tm  0.000  0.806  0.194

Summary:
total magnetization: 0.00 μB/f.u.


Most stable pick: version w. Distance to second place: 667 meV per atom.


Version w
Density functional theory data (GGA-PBE) for a relaxed structure of SmY6Tm3.

Cell lengths 6.384, 11.491, 11.491 Å; angles 130.38, 90.00, 90.00 degrees
Atoms (fractional coordinates):
Y  0.314  0.984  0.016
Y  0.072  0.379  0.261
Y  0.328  0.458  0.895
Y  0.572  0.621  0.739
Y  0.814  0.016  0.984
Y  0.328  0.105  0.542
Y  0.828  0.542  0.105
Y  0.828  0.895  0.458
Y  0.572  0.261  0.379
Y  0.786  0.301  0.699
Y  0.286  0.699  0.301
Y  0.072  0.739  0.621
Tm  0.987  0.705  0.957
Tm  0.487  0.295  0.043
Tm  0.987  0.043  0.295
Tm  0.597  0.582  0.418
Tm  0.097  0.418  0.582
Tm  0.487  0.957  0.705
Sm  0.013  0.162  0.838
Sm  0.513  0.838  0.162

Summary:
total magnetization: 0.00 μB/f.u.


Version x
Density functional theory data (GGA-PBE) for a relaxed structure of SmY6Tm3.

Cell lengths 6.234, 10.922, 10.922 Å; angles 119.85, 90.00, 90.00 degrees
Atoms (fractional coordinates):
Y  0.359  0.043  0.460
Y  0.652  0.284  0.716
Y  0.859  0.460  0.043
Y  0.534  0.291  0.380
Y  0.859  0.957  0.540
Y  0.407  0.952  0.048
Y  0.359  0.540  0.957
Y  0.534  0.620  0.709
Y  0.034  0.380  0.291
Y  0.152  0.716  0.284
Y  0.034  0.709  0.620
Y  0.907  0.048  0.952
Tm  0.077  0.389  0.611
Tm  0.952  0.064  0.282
Tm  0.452  0.936  0.718
Tm  0.452  0.282  0.064
Tm  0.577  0.611  0.389
Tm  0.952  0.718  0.936
Sm  0.159  0.207  0.793
Sm  0.659  0.793  0.207

Summary:
total magnetization: 0.00 μB/f.u.


Most stable pick: version w. Distance to second place: 28 meV per atom.


Version w
Density functional theory data (GGA-PBE) for a relaxed structure of SmYTm2.

Cell lengths 3.549, 3.549, 11.705 Å; angles 81.28, 81.28, 60.00 degrees
Atoms (fractional coordinates):
Tm  0.750  0.750  0.749
Tm  0.250  0.250  0.251
Y  0.500  0.500  0.500
Sm  0.000  0.000  0.000

Summary:
total magnetization: 0.00 μB/f.u.


Version x
Density functional theory data (GGA-PBE) for a relaxed structure of SmYTm2.

Cell lengths 3.571, 3.571, 11.623 Å; angles 81.16, 81.16, 60.00 degrees
Atoms (fractional coordinates):
Sm  0.501  0.501  0.498
Y  0.666  0.666  0.001
Tm  0.083  0.083  0.752
Tm  0.250  0.250  0.249

Summary:
total magnetization: 0.00 μB/f.u.


Most stable pick: version x. Distance to second place: 6 meV per atom.


Version w
Density functional theory data (GGA-PBE) for a relaxed structure of SmYTm2.

Cell lengths 3.548, 3.548, 10.014 Å; angles 90.00, 90.00, 90.00 degrees
Atoms (fractional coordinates):
Tm  0.000  0.000  0.749
Tm  0.000  0.000  0.251
Sm  0.500  0.500  0.000
Y  0.500  0.500  0.500

Summary:
total magnetization: 0.00 μB/f.u.


Version x
Density functional theory data (GGA-PBE) for a relaxed structure of SmYTm2.

Cell lengths 5.655, 5.655, 5.655 Å; angles 60.00, 60.00, 60.00 degrees
Atoms (fractional coordinates):
Tm  0.250  0.250  0.250
Tm  0.750  0.750  0.750
Y  0.500  0.500  0.500
Sm  0.000  0.000  0.000

Summary:
total magnetization: 0.00 μB/f.u.


Version y
Density functional theory data (GGA-PBE) for a relaxed structure of SmYTm2.

Cell lengths 5.627, 7.247, 6.265 Å; angles 90.01, 90.00, 90.00 degrees
Atoms (fractional coordinates):
Sm  0.159  0.173  0.718
Sm  0.659  0.174  0.053
Y  0.659  0.427  0.551
Y  0.159  0.676  0.721
Tm  0.159  0.922  0.223
Tm  0.659  0.676  0.056
Tm  0.159  0.428  0.219
Tm  0.659  0.922  0.552

Summary:
total magnetization: 0.00 μB/f.u.


Most stable pick: version y. Distance to second place: 18 meV per atom.